(1)
DFT (PBE-GGA) results for TlVB2I after structural relaxation.

abc: 4.3456 5.7477 4.3456
angles: 90.00 90.00 90.00
Element x y z (fractional)
I  0.5000  0.5000  0.5000
Tl  0.0000  0.0000  0.0000
B  0.0000  0.0000  0.5000
B  0.5000  0.0000  0.0000
V  0.0000  0.5000  0.0000

Values from the calculation:
space group	No. 123
E	-3.12	eV per atom
magnetic moment	0.0	μB per formula unit

---

(2)
DFT (PBE-GGA) results for ScSi2Ni3 after structural relaxation.

abc: 12.3922 12.3922 12.3922
angles: 162.78 162.78 24.45
Element x y z (fractional)
Sc  0.8538  0.8538  0.0000
Sc  0.1462  0.1462  0.0000
Ni  0.6938  0.6938  0.0000
Ni  0.3062  0.3062  0.0000
Ni  0.4509  0.9509  0.5000
Ni  0.9509  0.4509  0.5000
Ni  0.5491  0.0491  0.5000
Ni  0.0491  0.5491  0.5000
Si  0.2500  0.7500  0.5000
Si  0.7500  0.2500  0.5000
Si  0.6012  0.6012  0.0000
Si  0.3988  0.3988  0.0000

Values from the calculation:
space group	No. 139
E	-6.27	eV per atom
magnetic moment	0.0	μB per formula unit

---

(3)
DFT (PBE-GGA) results for TiIrCl2 after structural relaxation.

abc: 8.2013 8.2013 8.2013
angles: 21.41 21.41 21.41
Element x y z (fractional)
Cl  0.9036  0.9036  0.9036
Cl  0.0964  0.0964  0.0964
Ir  0.0000  0.0000  0.0000
Ti  0.5000  0.5000  0.5000

Values from the calculation:
space group	No. 166
E	-5.44	eV per atom
energy relative to the lowest polymorph listed for this composition	0	meV/atom
magnetic moment	0.0	μB per formula unit

---

(4)
DFT (PBE-GGA) results for YPCl2O after structural relaxation.

abc: 4.4377 4.4377 4.4996
angles: 90.00 90.00 90.00
Element x y z (fractional)
Y  0.5000  0.5000  0.5000
P  0.0000  0.0000  0.5000
O  0.0000  0.0000  0.0000
Cl  0.0000  0.5000  0.0000
Cl  0.5000  0.0000  0.0000

Values from the calculation:
space group	No. 123
E	-4.48	eV per atom
energy relative to the lowest polymorph listed for this composition	0	meV/atom
magnetic moment	0.0	μB per formula unit